1.
# Li2VCrO4 PBE with a Hubbard U optimized geometry
data_Li2VCrO4
_cell_length_a 19.551
_cell_length_b 2.971
_cell_length_c 5.208
_cell_angle_alpha 90.00
_cell_angle_beta 95.62
_cell_angle_gamma 90.00
_space_group_name_H-M_alt 'C 1 2/m 1'
_space_group_IT_number 12
loop_
_space_group_symop_operation_xyz
'x,y,z'
'-x,-y,-z'
'-x,y,-z'
'x,-y,z'
'x+1/2,y+1/2,z'
'-x+1/2,-y+1/2,-z'
'-x+1/2,y+1/2,-z'
'x+1/2,-y+1/2,z'
loop_
_atom_site_label
_atom_site_type_symbol
_atom_site_fract_x
_atom_site_fract_y
_atom_site_fract_z
Li1 Li 0.000 0.000 0.000
Li2 Li 0.000 0.500 0.500
Li3 Li 0.249 0.000 0.759
V1 V 0.125 0.000 0.376
Cr1 Cr 0.125 0.500 0.875
O1 O 0.068 0.000 0.692
O2 O 0.069 0.500 0.186
O3 O 0.182 0.000 0.058
O4 O 0.182 0.500 0.566
# Relative energy among the computed polymorphs in meV per atom: 0

***

2.
Here is a relaxed HfVO crystal from the Alexandria database. Energies are from PBE with a Hubbard U.

```
data_HfVO
_cell_length_a 3.084
_cell_length_b 4.459
_cell_length_c 6.143
_cell_angle_alpha 90.00
_cell_angle_beta 90.00
_cell_angle_gamma 90.00
_space_group_name_H-M_alt 'P m m n'
_space_group_IT_number 59
loop_
_space_group_symop_operation_xyz
'x,y,z'
'-x,-y,-z'
'-x+1/2,-y+1/2,z'
'x+1/2,y+1/2,-z'
'x+1/2,-y,-z'
'-x+1/2,y,z'
'-x,y+1/2,-z'
'x,-y+1/2,z'
loop_
_atom_site_label
_atom_site_type_symbol
_atom_site_fract_x
_atom_site_fract_y
_atom_site_fract_z
Hf1 Hf 0.250 0.250 0.156
V1 V 0.250 0.250 0.628
O1 O 0.250 0.750 0.122
```

***

Total energy for the records above, in order: -6.91, -8.41 eV per atom
DOS(E_F) for the records above, in order: 0.00, 0.45 states/eV/atom